No. 1
Computed, not measured: crystalline Ca2NiSn at its relaxed geometry at the PBE level of DFT.

Lattice parameters (Å, degrees): 6.580 6.580 6.580 102.28 102.28 125.07
Fractional coordinates of all 8 atoms:
Ca 0.063 0.625 0.938
Ca 0.375 0.313 0.438
Ca 0.687 0.125 0.062
Ca 0.875 0.937 0.562
Ni 0.000 0.000 0.000
Ni 0.750 0.250 0.500
Sn 0.250 0.750 0.500
Sn 0.500 0.500 0.000

Computed properties:
* size of the total moment: 0.00 μB/cell
* space group: No. 122
* Fermi-level density of states: 3.11 states/eV/cell

***

No. 2
Computed, not measured: crystalline CaNiSn2 at its relaxed geometry at the PBE level of DFT.

Lattice parameters (Å, degrees): 9.987 9.987 9.987 153.34 123.91 63.15
Fractional coordinates of all 16 atoms:
Ca 0.207 0.207 0.000
Ca 0.231 0.000 0.231
Ca 0.769 0.000 0.769
Ca 0.793 0.793 0.000
Ni 0.097 0.350 0.746
Ni 0.396 0.650 0.746
Ni 0.604 0.350 0.254
Ni 0.903 0.650 0.254
Sn 0.083 0.583 0.500
Sn 0.142 0.805 0.337
Sn 0.413 0.413 0.000
Sn 0.468 0.805 0.663
Sn 0.532 0.195 0.337
Sn 0.587 0.587 0.000
Sn 0.858 0.195 0.663
Sn 0.917 0.417 0.500

Computed properties:
* size of the total moment: 0.00 μB/cell
* space group: No. 71
* Fermi-level density of states: 8.55 states/eV/cell

***

No. 3
Computed, not measured: crystalline CaNi3Sn2 at its relaxed geometry at the PBE level of DFT.

Lattice parameters (Å, degrees): 8.278 8.278 7.468 115.13 115.13 30.42
Fractional coordinates of all 12 atoms:
Ca 0.151 0.151 0.200
Ca 0.849 0.849 0.800
Ni 0.012 0.012 0.356
Ni 0.300 0.300 0.062
Ni 0.411 0.411 0.451
Ni 0.589 0.589 0.549
Ni 0.700 0.700 0.938
Ni 0.988 0.988 0.644
Sn 0.169 0.169 0.709
Sn 0.476 0.476 0.170
Sn 0.524 0.524 0.830
Sn 0.831 0.831 0.291

Computed properties:
* size of the total moment: 0.00 μB/cell
* space group: No. 12
* Fermi-level density of states: 8.22 states/eV/cell

***

No. 4
Computed, not measured: crystalline Ca4NiSn8 at its relaxed geometry at the PBE level of DFT.

Lattice parameters (Å, degrees): 4.582 4.687 16.137 90.00 90.00 90.00
Fractional coordinates of all 13 atoms:
Ca 0.000 0.000 0.000
Ca 0.000 0.500 0.486
Ca 0.500 0.000 0.795
Ca 0.500 0.500 0.307
Ni 0.000 0.500 0.695
Sn 0.000 0.000 0.324
Sn 0.000 0.000 0.627
Sn 0.000 0.500 0.152
Sn 0.000 0.500 0.851
Sn 0.500 0.000 0.160
Sn 0.500 0.000 0.465
Sn 0.500 0.500 0.631
Sn 0.500 0.500 0.971

Computed properties:
* size of the total moment: 0.00 μB/cell
* space group: No. 25
* Fermi-level density of states: 7.05 states/eV/cell

***

No. 5
Computed, not measured: crystalline Ca2Ni2Sn at its relaxed geometry at the PBE level of DFT.

Lattice parameters (Å, degrees): 5.389 5.389 5.389 118.14 118.14 93.24
Fractional coordinates of all 5 atoms:
Ca 0.250 0.750 0.500
Ca 0.750 0.250 0.500
Ni 0.158 0.158 0.000
Ni 0.842 0.842 0.000
Sn 0.500 0.500 0.000

Computed properties:
* size of the total moment: 0.00 μB/cell
* space group: No. 139
* Fermi-level density of states: 4.38 states/eV/cell

***

No. 6
Computed, not measured: crystalline CaNiSn2 at its relaxed geometry at the PBE level of DFT.

Lattice parameters (Å, degrees): 4.979 4.979 4.979 60.00 60.00 60.00
Fractional coordinates of all 4 atoms:
Ca 0.000 0.000 0.000
Ni 0.500 0.500 0.500
Sn 0.250 0.250 0.250
Sn 0.750 0.750 0.750

Computed properties:
* size of the total moment: 0.00 μB/cell
* space group: No. 225
* Fermi-level density of states: 0.31 states/eV/cell

***

No. 7
Computed, not measured: crystalline CaNi2Sn2 at its relaxed geometry at the PBE level of DFT.

Lattice parameters (Å, degrees): 7.894 7.894 3.060 90.00 90.00 90.00
Fractional coordinates of all 10 atoms:
Ca 0.000 0.000 0.000
Ca 0.500 0.500 0.000
Ni 0.150 0.350 0.500
Ni 0.350 0.850 0.500
Ni 0.650 0.150 0.500
Ni 0.850 0.650 0.500
Sn 0.141 0.641 0.000
Sn 0.359 0.141 0.000
Sn 0.641 0.859 0.000
Sn 0.859 0.359 0.000

Computed properties:
* size of the total moment: 0.00 μB/cell
* space group: No. 127
* Fermi-level density of states: 4.96 states/eV/cell

***

No. 8
Computed, not measured: crystalline Ca2NiSn8 at its relaxed geometry at the PBE level of DFT.

Lattice parameters (Å, degrees): 4.676 4.676 12.871 90.00 90.00 90.00
Fractional coordinates of all 11 atoms:
Ca 0.000 0.000 0.192
Ca 0.000 0.000 0.808
Ni 0.000 0.000 0.500
Sn 0.000 0.500 0.000
Sn 0.000 0.500 0.382
Sn 0.000 0.500 0.618
Sn 0.500 0.000 0.000
Sn 0.500 0.000 0.382
Sn 0.500 0.000 0.618
Sn 0.500 0.500 0.191
Sn 0.500 0.500 0.809

Computed properties:
* size of the total moment: 0.00 μB/cell
* space group: No. 123
* Fermi-level density of states: 6.58 states/eV/cell

***

| no. | energy relative to the elements (eV per atom) |
| --- | --- |
| 1 | -0.0298 |
| 2 | -0.4579 |
| 3 | -0.2892 |
| 4 | -0.4363 |
| 5 | -0.1337 |
| 6 | -0.1222 |
| 7 | -0.1241 |
| 8 | -0.2917 |